# FeSbP2S

A geometry-optimized FeSbP2S structure (PBE-GGA, Alexandria).

Cell: 5.0231 5.0231 4.9167 Å, 90.00 90.00 90.00°
With the nearest neighbours (Å) after each atom.
Atoms (fractional coordinates):
1 S 0.0000 0.0000 0.5000  2 Sb 2.46
2 Fe 0.5000 0.5000 0.5000  8 P 3.51, 4 S 3.55
3 P 0.0000 0.5000 0.0000  2 Sb 2.51
4 P 0.5000 0.0000 0.0000  2 Sb 2.51
5 Sb 0.0000 0.0000 0.0000  2 S 2.46, 4 P 2.51

Summary:
Mass density ... 3.64 g/cm3
Energy relative to the elements, uncorrected ... 1.3682 eV/atom
Relative energy among the computed polymorphs ... 997 meV/atom